No. 1
# ZnSiSe2 (GGA-PBEsol, optimized geometry)
# Total moment (μB per formula unit): 0.0
# Formation energy from raw total energies (eV per atom): 0.1675
data_ZnSiSe2
_space_group_name_H-M_alt 'C m m 2'
_space_group_IT_number 35
_space_group_name_Hall 'C 2 -2'
_cell_length_a 3.410
_cell_length_b 5.283
_cell_length_c 8.749
_cell_angle_alpha 90.00
_cell_angle_beta 90.00
_cell_angle_gamma 90.00
loop_
_atom_site_label
_atom_site_fract_x
_atom_site_fract_y
_atom_site_fract_z
_atom_site_occupancy
Zn1 0.000 0.000 0.000 1
Si1 0.000 0.500 0.774 1
Se1 0.000 0.000 0.579 1
Se2 0.000 0.500 0.207 1

---

No. 2
# MnIrPt2 (GGA-PBEsol, optimized geometry)
# E_form (meV per atom): -122
# Total moment (μB per formula unit): 2.7
data_MnIrPt2
_space_group_name_H-M_alt 'I -4 m 2'
_space_group_IT_number 119
_space_group_name_Hall 'I -4 -2'
_cell_length_a 3.847
_cell_length_b 3.847
_cell_length_c 7.612
_cell_angle_alpha 90.00
_cell_angle_beta 90.00
_cell_angle_gamma 90.00
loop_
_atom_site_label
_atom_site_fract_x
_atom_site_fract_y
_atom_site_fract_z
_atom_site_occupancy
Mn1 0.000 0.000 0.000 1
Ir1 0.000 0.500 0.750 1
Pt1 0.000 0.000 0.500 1
Pt2 0.000 0.500 0.250 1

---

Final energy for every record listed, in sequence, given in eV/atom: -3.59; -8.50.